This record from the Alexandria database describes Ca2PtN at its PBEsol-relaxed geometry. The functional is SCAN.

a b c (Å): 5.814 5.814 5.814
angles (deg): 105.27 105.27 118.24
Fractional coordinates of all 8 atoms:
Ca (0.053, 0.125, 0.428)
Ca (0.375, 0.947, 0.072)
Ca (0.697, 0.625, 0.572)
Ca (0.875, 0.303, 0.928)
Pt (0.250, 0.750, 0.500)
Pt (0.500, 0.500, 0.000)
N (0.000, 0.000, 0.000)
N (0.750, 0.250, 0.500)

Computed properties:
The calculation puts the formation energy (no corrections) at -0.46 eV per atom. The value obtained for the total energy is -100.6 eV per formula unit.

This record from the Alexandria database describes RbCaN2 at its PBEsol-relaxed geometry. The functional is SCAN.

a b c (Å): 8.281 8.281 8.281
angles (deg): 28.11 28.11 28.11
Fractional coordinates of all 4 atoms:
Rb (0.000, 0.000, 0.000)
Ca (0.500, 0.500, 0.500)
N (0.410, 0.410, 0.410)
N (0.590, 0.590, 0.590)

Computed properties:
The calculation puts the formation energy (no corrections) at 1.14 eV per atom. The value obtained for the total energy is -44.4 eV per formula unit.

This record from the Alexandria database describes RbCaSe2N at its PBEsol-relaxed geometry. The functional is SCAN.

a b c (Å): 5.727 5.727 4.854
angles (deg): 90.00 90.00 90.00
Fractional coordinates of all 5 atoms:
Rb (0.000, 0.000, 0.000)
Ca (0.500, 0.500, 0.500)
Se (0.000, 0.500, 0.000)
Se (0.500, 0.000, 0.000)
N (0.000, 0.000, 0.500)

Computed properties:
The calculation puts the formation energy (no corrections) at 0.59 eV per atom. The value obtained for the total energy is -76.9 eV per formula unit.

This record from the Alexandria database describes RbCaTe2N at its PBEsol-relaxed geometry. The functional is SCAN.

a b c (Å): 6.117 6.117 4.929
angles (deg): 90.00 90.00 90.00
Fractional coordinates of all 5 atoms:
Rb (0.000, 0.000, 0.000)
Ca (0.500, 0.500, 0.500)
Te (0.000, 0.500, 0.000)
Te (0.500, 0.000, 0.000)
N (0.000, 0.000, 0.500)

Computed properties:
The calculation puts the formation energy (no corrections) at 0.66 eV per atom. The value obtained for the total energy is -110.9 eV per formula unit.

This record from the Alexandria database describes RbCa2ZrN at its PBEsol-relaxed geometry. The functional is SCAN.

a b c (Å): 6.394 6.394 4.187
angles (deg): 90.00 90.00 90.00
Fractional coordinates of all 5 atoms:
Rb (0.000, 0.000, 0.000)
Ca (0.000, 0.500, 0.500)
Ca (0.500, 0.000, 0.500)
Zr (0.500, 0.500, 0.500)
N (0.500, 0.500, 0.000)

Computed properties:
The calculation puts the formation energy (no corrections) at 0.46 eV per atom. The value obtained for the total energy is -77.7 eV per formula unit.

This record from the Alexandria database describes Ca7ReN6 at its PBEsol-relaxed geometry. The functional is SCAN.

a b c (Å): 8.944 8.944 8.944
angles (deg): 138.20 100.02 94.62
Fractional coordinates of all 28 atoms:
Ca (0.041, 0.229, 0.270)
Ca (0.095, 0.501, 0.851)
Ca (0.149, 0.001, 0.406)
Ca (0.250, 0.250, 0.000)
Ca (0.351, 0.756, 0.851)
Ca (0.405, 0.256, 0.406)
Ca (0.459, 0.729, 0.188)
Ca (0.541, 0.271, 0.812)
Ca (0.595, 0.744, 0.594)
Ca (0.649, 0.244, 0.149)
Ca (0.750, 0.750, 0.000)
Ca (0.851, 0.999, 0.594)
Ca (0.905, 0.499, 0.149)
Ca (0.959, 0.771, 0.730)
Re (0.250, 0.750, 0.500)
Re (0.750, 0.250, 0.500)
N (0.082, 0.893, 0.586)
N (0.155, 0.902, 0.057)
N (0.193, 0.607, 0.190)
N (0.307, 0.497, 0.414)
N (0.345, 0.402, 0.748)
N (0.418, 0.003, 0.810)
N (0.582, 0.997, 0.190)
N (0.655, 0.598, 0.252)
N (0.693, 0.503, 0.586)
N (0.807, 0.393, 0.810)
N (0.845, 0.098, 0.943)
N (0.918, 0.107, 0.414)

Computed properties:
The calculation puts the formation energy (no corrections) at -0.93 eV per atom. The value obtained for the total energy is -207.5 eV per formula unit.

This record from the Alexandria database describes Ca3RhN3 at its PBEsol-relaxed geometry. The functional is SCAN.

a b c (Å): 7.238 7.238 4.913
angles (deg): 90.00 90.00 120.00
Fractional coordinates of all 14 atoms:
Ca (0.094, 0.361, 0.250)
Ca (0.267, 0.906, 0.250)
Ca (0.361, 0.267, 0.750)
Ca (0.639, 0.733, 0.250)
Ca (0.733, 0.094, 0.750)
Ca (0.906, 0.639, 0.750)
Rh (0.333, 0.667, 0.750)
Rh (0.667, 0.333, 0.250)
N (0.098, 0.387, 0.750)
N (0.289, 0.902, 0.750)
N (0.387, 0.289, 0.250)
N (0.613, 0.711, 0.750)
N (0.711, 0.098, 0.250)
N (0.902, 0.613, 0.250)

Computed properties:
The calculation puts the formation energy (no corrections) at -0.78 eV per atom. The value obtained for the total energy is -96.1 eV per formula unit.

This record from the Alexandria database describes CaRuRh2N at its PBEsol-relaxed geometry. The functional is SCAN.

a b c (Å): 4.837 4.837 3.696
angles (deg): 90.00 90.00 90.00
Fractional coordinates of all 5 atoms:
Ca (0.000, 0.000, 0.000)
Ru (0.500, 0.500, 0.500)
Rh (0.000, 0.500, 0.500)
Rh (0.500, 0.000, 0.500)
N (0.500, 0.500, 0.000)

Computed properties:
The calculation puts the formation energy (no corrections) at 0.55 eV per atom. The value obtained for the total energy is -118.6 eV per formula unit.

This record from the Alexandria database describes SrCaRh2N at its PBEsol-relaxed geometry. The functional is SCAN.

a b c (Å): 4.201 4.201 4.792
angles (deg): 90.00 90.00 90.00
Fractional coordinates of all 5 atoms:
Sr (0.000, 0.000, 0.000)
Ca (0.500, 0.500, 0.000)
Rh (0.000, 0.500, 0.500)
Rh (0.500, 0.000, 0.500)
N (0.000, 0.000, 0.500)

Computed properties:
The calculation puts the formation energy (no corrections) at -0.02 eV per atom. The value obtained for the total energy is -108.9 eV per formula unit.

This record from the Alexandria database describes Ca4RuN4 at its PBEsol-relaxed geometry. The functional is SCAN.

a b c (Å): 5.963 6.000 8.507
angles (deg): 87.54 70.13 69.57
Fractional coordinates of all 18 atoms:
Ca (0.057, 0.233, 0.432)
Ca (0.188, 0.227, 0.021)
Ca (0.266, 0.718, 0.153)
Ca (0.426, 0.289, 0.621)
Ca (0.574, 0.711, 0.379)
Ca (0.734, 0.282, 0.847)
Ca (0.812, 0.773, 0.979)
Ca (0.943, 0.767, 0.568)
Ru (0.387, 0.797, 0.756)
Ru (0.613, 0.203, 0.244)
N (0.170, 0.002, 0.663)
N (0.270, 0.552, 0.889)
N (0.303, 0.481, 0.382)
N (0.421, 0.022, 0.202)
N (0.579, 0.978, 0.798)
N (0.697, 0.519, 0.618)
N (0.730, 0.448, 0.111)
N (0.830, 0.998, 0.337)

Computed properties:
The calculation puts the formation energy (no corrections) at -0.80 eV per atom. The value obtained for the total energy is -117.9 eV per formula unit.

This record from the Alexandria database describes Ca2RuN3 at its PBEsol-relaxed geometry. The functional is SCAN.

a b c (Å): 5.982 5.982 11.730
angles (deg): 90.00 90.00 125.66
Fractional coordinates of all 24 atoms:
Ca (0.046, 0.954, 0.856)
Ca (0.137, 0.863, 0.425)
Ca (0.363, 0.637, 0.925)
Ca (0.454, 0.546, 0.356)
Ca (0.546, 0.454, 0.644)
Ca (0.637, 0.363, 0.075)
Ca (0.863, 0.137, 0.575)
Ca (0.954, 0.046, 0.144)
Ru (0.247, 0.753, 0.657)
Ru (0.253, 0.747, 0.157)
Ru (0.747, 0.253, 0.843)
Ru (0.753, 0.247, 0.343)
N (0.052, 0.448, 0.750)
N (0.072, 0.928, 0.637)
N (0.154, 0.846, 0.026)
N (0.346, 0.654, 0.526)
N (0.428, 0.572, 0.137)
N (0.448, 0.052, 0.250)
N (0.552, 0.948, 0.750)
N (0.572, 0.428, 0.863)
N (0.654, 0.346, 0.474)
N (0.846, 0.154, 0.974)
N (0.928, 0.072, 0.363)
N (0.948, 0.552, 0.250)

Computed properties:
The calculation puts the formation energy (no corrections) at -0.60 eV per atom. The value obtained for the total energy is -85.6 eV per formula unit.

This record from the Alexandria database describes Ca7RuN6 at its PBEsol-relaxed geometry. The functional is SCAN.

a b c (Å): 10.878 6.170 13.125
angles (deg): 90.00 90.00 90.00
Fractional coordinates of all 56 atoms:
Ca (0.000, 0.065, 0.250)
Ca (0.000, 0.935, 0.750)
Ca (0.037, 0.229, 0.521)
Ca (0.037, 0.771, 0.021)
Ca (0.207, 0.397, 0.113)
Ca (0.207, 0.603, 0.613)
Ca (0.225, 0.366, 0.871)
Ca (0.225, 0.634, 0.371)
Ca (0.275, 0.134, 0.371)
Ca (0.275, 0.866, 0.871)
Ca (0.293, 0.103, 0.613)
Ca (0.293, 0.897, 0.113)
Ca (0.463, 0.271, 0.021)
Ca (0.463, 0.729, 0.521)
Ca (0.500, 0.435, 0.750)
Ca (0.500, 0.565, 0.250)
Ca (0.537, 0.271, 0.479)
Ca (0.537, 0.729, 0.979)
Ca (0.707, 0.103, 0.887)
Ca (0.707, 0.897, 0.387)
Ca (0.725, 0.134, 0.129)
Ca (0.725, 0.866, 0.629)
Ca (0.775, 0.366, 0.629)
Ca (0.775, 0.634, 0.129)
Ca (0.793, 0.397, 0.387)
Ca (0.793, 0.603, 0.887)
Ca (0.963, 0.229, 0.979)
Ca (0.963, 0.771, 0.479)
Ru (0.000, 0.425, 0.750)
Ru (0.000, 0.575, 0.250)
Ru (0.500, 0.075, 0.250)
Ru (0.500, 0.925, 0.750)
N (0.037, 0.398, 0.364)
N (0.037, 0.602, 0.864)
N (0.133, 0.243, 0.704)
N (0.133, 0.757, 0.204)
N (0.167, 0.095, 0.990)
N (0.167, 0.905, 0.490)
N (0.333, 0.405, 0.490)
N (0.333, 0.595, 0.990)
N (0.367, 0.257, 0.204)
N (0.367, 0.743, 0.704)
N (0.463, 0.102, 0.864)
N (0.463, 0.898, 0.364)
N (0.537, 0.102, 0.636)
N (0.537, 0.898, 0.136)
N (0.633, 0.257, 0.296)
N (0.633, 0.743, 0.796)
N (0.667, 0.405, 0.010)
N (0.667, 0.595, 0.510)
N (0.833, 0.095, 0.510)
N (0.833, 0.905, 0.010)
N (0.867, 0.243, 0.796)
N (0.867, 0.757, 0.296)
N (0.963, 0.398, 0.136)
N (0.963, 0.602, 0.636)

Computed properties:
The calculation puts the formation energy (no corrections) at -0.83 eV per atom. The value obtained for the total energy is -169.8 eV per formula unit.

This record from the Alexandria database describes CaTeRuN2 at its PBEsol-relaxed geometry. The functional is SCAN.

a b c (Å): 4.258 4.258 6.154
angles (deg): 90.00 90.00 90.00
Fractional coordinates of all 5 atoms:
Ca (0.000, 0.000, 0.000)
Te (0.000, 0.000, 0.500)
Ru (0.500, 0.500, 0.500)
N (0.000, 0.500, 0.000)
N (0.500, 0.000, 0.000)

Computed properties:
The calculation puts the formation energy (no corrections) at 1.67 eV per atom. The value obtained for the total energy is -91.9 eV per formula unit.

This record from the Alexandria database describes CaTe2RuN at its PBEsol-relaxed geometry. The functional is SCAN.

a b c (Å): 5.635 5.635 4.121
angles (deg): 90.00 90.00 90.00
Fractional coordinates of all 5 atoms:
Ca (0.000, 0.000, 0.000)
Te (0.000, 0.500, 0.000)
Te (0.500, 0.000, 0.000)
Ru (0.500, 0.500, 0.500)
N (0.000, 0.000, 0.500)

Computed properties:
The calculation puts the formation energy (no corrections) at 1.29 eV per atom. The value obtained for the total energy is -121.8 eV per formula unit.

This record from the Alexandria database describes CaSbS2N at its PBEsol-relaxed geometry. The functional is SCAN.

a b c (Å): 5.047 5.047 3.948
angles (deg): 90.00 90.00 90.00
Fractional coordinates of all 5 atoms:
Ca (0.000, 0.000, 0.000)
Sb (0.500, 0.500, 0.500)
S (0.000, 0.500, 0.500)
S (0.500, 0.000, 0.500)
N (0.500, 0.500, 0.000)

Computed properties:
The calculation puts the formation energy (no corrections) at -0.28 eV per atom. The value obtained for the total energy is -76.9 eV per formula unit.

This record from the Alexandria database describes CaScSN2 at its PBEsol-relaxed geometry. The functional is SCAN.

a b c (Å): 4.071 4.071 5.116
angles (deg): 90.00 90.00 90.00
Fractional coordinates of all 5 atoms:
Ca (0.000, 0.000, 0.000)
Sc (0.500, 0.500, 0.500)
S (0.000, 0.000, 0.500)
N (0.000, 0.500, 0.000)
N (0.500, 0.000, 0.000)

Computed properties:
The calculation puts the formation energy (no corrections) at 0.60 eV per atom. The value obtained for the total energy is -49.1 eV per formula unit.

This record from the Alexandria database describes CaSnSN2 at its PBEsol-relaxed geometry. The functional is SCAN.

a b c (Å): 4.430 4.430 5.304
angles (deg): 90.00 90.00 90.00
Fractional coordinates of all 5 atoms:
Ca (0.000, 0.000, 0.000)
Sn (0.500, 0.500, 0.500)
S (0.000, 0.000, 0.500)
N (0.000, 0.500, 0.000)
N (0.500, 0.000, 0.000)

Computed properties:
The calculation puts the formation energy (no corrections) at 0.90 eV per atom. The value obtained for the total energy is -69.3 eV per formula unit.

This record from the Alexandria database describes CaTaS2N at its PBEsol-relaxed geometry. The functional is SCAN.

a b c (Å): 4.943 4.943 4.042
angles (deg): 90.00 90.00 90.00
Fractional coordinates of all 5 atoms:
Ca (0.000, 0.000, 0.000)
Ta (0.500, 0.500, 0.500)
S (0.000, 0.500, 0.000)
S (0.500, 0.000, 0.000)
N (0.000, 0.000, 0.500)

Computed properties:
The calculation puts the formation energy (no corrections) at 1.05 eV per atom. The value obtained for the total energy is -99.5 eV per formula unit.

This record from the Alexandria database describes CaTcSN2 at its PBEsol-relaxed geometry. The functional is SCAN.

a b c (Å): 3.837 3.837 4.937
angles (deg): 90.00 90.00 90.00
Fractional coordinates of all 5 atoms:
Ca (0.000, 0.000, 0.000)
Tc (0.500, 0.500, 0.500)
S (0.500, 0.500, 0.000)
N (0.000, 0.500, 0.500)
N (0.500, 0.000, 0.500)

Computed properties:
The calculation puts the formation energy (no corrections) at -0.52 eV per atom. The value obtained for the total energy is -75.5 eV per formula unit.

This record from the Alexandria database describes CaTcS2N at its PBEsol-relaxed geometry. The functional is SCAN.

a b c (Å): 5.121 5.121 4.249
angles (deg): 90.00 90.00 90.00
Fractional coordinates of all 5 atoms:
Ca (0.000, 0.000, 0.000)
Tc (0.500, 0.500, 0.500)
S (0.000, 0.500, 0.000)
S (0.500, 0.000, 0.000)
N (0.000, 0.000, 0.500)

Computed properties:
The calculation puts the formation energy (no corrections) at 1.00 eV per atom. The value obtained for the total energy is -68.3 eV per formula unit.

This record from the Alexandria database describes CaTeSN2 at its PBEsol-relaxed geometry. The functional is SCAN.

a b c (Å): 4.098 4.098 5.110
angles (deg): 90.00 90.00 90.00
Fractional coordinates of all 5 atoms:
Ca (0.000, 0.000, 0.000)
Te (0.500, 0.500, 0.000)
S (0.500, 0.500, 0.500)
N (0.000, 0.500, 0.500)
N (0.500, 0.000, 0.500)

Computed properties:
The calculation puts the formation energy (no corrections) at 1.02 eV per atom. The value obtained for the total energy is -70.0 eV per formula unit.

This record from the Alexandria database describes CaTlS2N at its PBEsol-relaxed geometry. The functional is SCAN.

a b c (Å): 5.292 5.292 4.622
angles (deg): 90.00 90.00 90.00
Fractional coordinates of all 5 atoms:
Ca (0.000, 0.000, 0.000)
Tl (0.500, 0.500, 0.500)
S (0.000, 0.500, 0.000)
S (0.500, 0.000, 0.000)
N (0.000, 0.000, 0.500)

Computed properties:
The calculation puts the formation energy (no corrections) at 0.23 eV per atom. The value obtained for the total energy is -109.4 eV per formula unit.